A plane-wave DFT calculation with PBE was carried out for a relaxed structure of LaY2H.

Computed properties:
Total magnetization (μB/f.u.): 0.0
Density (g/cm³): 4.923
Excess energy over the best structure of this formula in the dataset (meV per atom): 0
Symmetry: I-42d, No. 122
Calculated volume (Å³/atom): 26.795

Geometry as extended XYZ:
```
8
Lattice="-3.676 3.676 3.967 3.676 -3.676 3.967 3.676 3.676 -3.967" Properties=species:S:1:pos:R:3 pbc="T T T"
La 0.000 0.000 0.000
La 0.000 3.676 1.983
Y 1.838 2.961 -0.992
Y 4.391 1.838 0.992
Y 1.838 0.715 2.975
Y -0.715 1.838 4.958
H 3.676 0.000 1.983
H 0.000 0.000 3.967
```

---

A plane-wave DFT calculation with PBE was carried out for a relaxed structure of LaY2H.

Computed properties:
Total magnetization (μB/f.u.): 0.0
Density (g/cm³): 5.107
Excess energy over the best structure of this formula in the dataset (meV per atom): 39
Symmetry: R-3m, No. 166
Calculated volume (Å³/atom): 25.827

Geometry as extended XYZ:
```
4
Lattice="1.758 1.015 9.650 -1.758 1.015 9.650 0.000 -2.030 9.650" Properties=species:S:1:pos:R:3 pbc="T T T"
La 0.000 0.000 0.000
Y 0.000 0.000 3.484
Y 0.000 0.000 25.467
H 0.000 0.000 14.475
```

---

A plane-wave DFT calculation with PBE was carried out for a relaxed structure of La2YH8.

Computed properties:
Total magnetization (μB/f.u.): 0.0
Density (g/cm³): 5.170
Symmetry: Immm, No. 71
VASP energy (eV/atom): -4.5388
Calculated volume (Å³/atom): 10.942

Geometry as extended XYZ:
```
11
Lattice="-1.948 2.645 5.841 1.948 -2.645 5.841 1.948 2.645 -5.841" Properties=species:S:1:pos:R:3 pbc="T T T"
La 0.000 0.000 1.977
La 0.000 0.000 9.704
Y 0.000 0.000 5.841
H 1.948 1.318 -1.769
H 0.000 1.355 0.000
H 1.948 0.000 3.798
H 1.948 1.318 1.769
H 0.000 1.327 4.072
H 0.000 2.645 2.043
H 0.000 3.935 0.000
H 0.000 1.327 7.609
```

---

A plane-wave DFT calculation with PBE was carried out for a relaxed structure of LaY2H2.

Computed properties:
Total magnetization (μB/f.u.): 0.0
Density (g/cm³): 4.913
Excess energy over the best structure of this formula in the dataset (meV per atom): 0
Symmetry: I4/mmm, No. 139
Calculated volume (Å³/atom): 21.547

Geometry as extended XYZ:
```
5
Lattice="-1.781 1.781 8.493 1.781 -1.781 8.493 1.781 1.781 -8.493" Properties=species:S:1:pos:R:3 pbc="T T T"
La 0.000 0.000 0.000
Y 0.000 0.000 5.572
Y 0.000 0.000 11.414
H 1.781 0.000 4.247
H 0.000 1.781 4.247
```

---

A plane-wave DFT calculation with PBE was carried out for a relaxed structure of La2YZnH.

Computed properties:
Total magnetization (μB/f.u.): 0.0
Density (g/cm³): 5.954
Symmetry: P4/mmm, No. 123
VASP energy (eV/atom): -4.3625
Calculated volume (Å³/atom): 24.160

Geometry as extended XYZ:
```
5
Lattice="4.904 0.000 0.000 0.000 4.904 0.000 0.000 0.000 5.023" Properties=species:S:1:pos:R:3 pbc="T T T"
La 0.000 2.452 0.000
La 2.452 0.000 0.000
Y 0.000 0.000 2.512
Zn 2.452 2.452 2.512
H 0.000 0.000 0.000
```

---

A plane-wave DFT calculation with PBE was carried out for a relaxed structure of LaY2ZnH.

Computed properties:
Total magnetization (μB/f.u.): 0.0
Density (g/cm³): 5.509
Symmetry: P4/mmm, No. 123
VASP energy (eV/atom): -4.6676
Calculated volume (Å³/atom): 23.098

Geometry as extended XYZ:
```
5
Lattice="4.881 0.000 0.000 0.000 4.881 0.000 0.000 0.000 4.848" Properties=species:S:1:pos:R:3 pbc="T T T"
La 0.000 0.000 0.000
Y 0.000 2.440 2.424
Y 2.440 0.000 2.424
Zn 2.440 2.440 0.000
H 0.000 0.000 2.424
```